# 1
# Y6Pb3C2

An optimized crystal structure of Y6Pb3C2 (PBE-GGA, the Alexandria database).

Results
Crystal system: tetragonal
ΔE_f in eV per atom: -0.40
N(E_F) in states/eV per cell: 5.557

Cell: 4.8243 4.8243 13.0484 Å, 100.65 100.65 90.00°
With the nearest neighbours (Å) after each atom.
Positions (direct):
1 Y 0.0840 0.5840 0.1681  2 C 2.46
2 Y 0.5840 0.0840 0.1681  2 C 2.46
3 Y 0.9160 0.4160 0.8319  2 C 2.46
4 Y 0.4160 0.9160 0.8319  2 C 2.46
5 Y 0.6937 0.6937 0.3873  1 C 2.29
6 Y 0.3063 0.3063 0.6127  1 C 2.29
7 Pb 0.0000 0.0000 0.0000  8 Y 3.21
8 Pb 0.8213 0.8213 0.6426  9 Y 3.22-3.43
9 Pb 0.1787 0.1787 0.3574  9 Y 3.22-3.43
10 C 0.3971 0.3971 0.7941  5 Y 2.29-2.46
11 C 0.6029 0.6029 0.2059  5 Y 2.29-2.46

***

# 2
# YZnPb2C

An optimized crystal structure of YZnPb2C (PBE-GGA, the Alexandria database).

Results
Crystal system: tetragonal
ΔE_f in eV per atom: 1.17
N(E_F) in states/eV per cell: 4.686

Cell: 6.2369 4.4668 6.2369 Å, 90.00 90.00 90.00°
With the nearest neighbours (Å) after each atom.
Positions (direct):
1 Pb 0.0000 0.0000 0.5000  2 Y 3.12
2 Pb 0.5000 0.0000 0.0000  2 Y 3.12
3 Y 0.0000 0.0000 0.0000  2 C 2.23
4 Zn 0.5000 0.5000 0.5000  8 Pb 3.84
5 C 0.0000 0.5000 0.0000  2 Y 2.23

***

# 3
# Y2ZrPbC

An optimized crystal structure of Y2ZrPbC (PBE-GGA, the Alexandria database).

Results
Crystal system: tetragonal
ΔE_f in eV per atom: -0.49
N(E_F) in states/eV per cell: 2.835

Cell: 4.9205 4.9205 4.6204 Å, 90.00 90.00 90.00°
With the nearest neighbours (Å) after each atom.
Positions (direct):
1 Pb 0.5000 0.5000 0.5000  8 Y 3.37, 4 Zr 3.48
2 Y 0.0000 0.5000 0.0000  2 C 2.46
3 Y 0.5000 0.0000 0.0000  2 C 2.46
4 C 0.0000 0.0000 0.0000  2 Zr 2.31, 4 Y 2.46
5 Zr 0.0000 0.0000 0.5000  2 C 2.31